Below is a relaxed Tb2Pr2Sm5 crystal, with properties calculated at the PBE level.

Unit cell a=15.042 b=12.026 c=6.834 alpha=90.00 beta=90.00 gamma=90.00
Space group Ima2 (No. 46)
Inequivalent atoms, fractional coordinates:
1 Tb 0.126 0.002 0.000 x8
2 Pr 0.000 0.000 0.466 x4
3 Pr 0.250 0.005 0.538 x4
4 Sm 0.052 0.749 0.148 x8
5 Sm 0.143 0.233 0.332 x8
6 Sm 0.250 0.737 0.348 x4

## Properties
Energy   -162.5 eV/cell
Volume   34.34 Å³ per atom
Calculated density   7.26 g/cm3
Energy of formation   19.30 kJ/mol of atoms
Energy relative to the lowest polymorph listed for this composition   0.00 eV per formula unit

---

Below is a relaxed K2CdPt crystal, with properties calculated at the PBE level.

Unit cell a=3.806 b=3.806 c=9.840 alpha=90.00 beta=90.00 gamma=90.00
Space group P4mm (No. 99)
Inequivalent atoms, fractional coordinates:
1 K 0.000 0.000 0.000 x1
2 K 0.500 0.500 0.415 x1
3 Cd 0.500 0.500 0.735 x1
4 Pt 0.000 0.000 0.675 x1

## Properties
Energy   -9.4 eV/cell
Volume   35.64 Å³ per atom
Calculated density   4.49 g/cm3
Energy of formation   -4.88 kJ/mol of atoms
Energy relative to the lowest polymorph listed for this composition   0.39 eV per formula unit

---

Below is a relaxed Bi3BRh crystal, with properties calculated at the PBE level.

Unit cell a=5.296 b=5.296 c=5.296 alpha=90.00 beta=90.00 gamma=90.00
Space group Pm-3m (No. 221)
Inequivalent atoms, fractional coordinates:
1 Bi 0.000 0.000 0.500 x3
2 B 0.500 0.500 0.500 x1
3 Rh 0.000 0.000 0.000 x1

## Properties
Energy   -19.8 eV/cell
Volume   29.70 Å³ per atom
Calculated density   8.28 g/cm3
Energy of formation   113.60 kJ/mol of atoms
Energy relative to the lowest polymorph listed for this composition   1.25 eV per formula unit